No. 1
The following is a DFT calculation (meta-GGA SCAN) of InFe2As at its PBEsol-relaxed geometry.

D(E_F) = 3.422 states/eV/cell
total energy = -88.4 eV/f.u.
ΔE_f = 360 meV per atom
relative energy among the computed polymorphs = 0.0 meV/atom

Cell: 4.265 3.105 4.264 Å, 90.00 90.00 90.00°
Each line ends with the local moment (μB).
Atoms (fractional coordinates):
1 Fe 0.000 0.000 0.000  2.37
2 Fe 0.500 0.000 0.500  2.38
3 As 0.000 0.500 0.500  -0.08
4 In 0.500 0.500 0.000  -0.14

=====

No. 2
The following is a DFT calculation (meta-GGA SCAN) of InFe2As at its PBEsol-relaxed geometry.

D(E_F) = 3.154 states/eV/cell
total energy = -88.3 eV/f.u.
ΔE_f = 376 meV per atom
relative energy among the computed polymorphs = 15.6 meV/atom

Cell: 3.814 4.575 4.439 Å, 121.02 115.44 90.00°
Each line ends with the local moment (μB).
Atoms (fractional coordinates):
1 Fe 0.297 0.297 0.594  2.20
2 Fe 0.703 0.703 0.406  2.20
3 As 0.000 0.500 0.000  -0.09
4 In 0.500 0.000 0.000  -0.20